Below is CsVF3 after structural relaxation, with properties calculated at the PBE with a Hubbard U level.

## Properties
Final energy, eV per atom: -5.191
Space group: C2/c (15)
Crystal system: monoclinic

```
CsVF3
1.0
4.621 -6.363 0.000
4.621 6.363 0.000
-3.168 0.000 8.047
Cs V F
4 4 12
direct
0.001 0.999 0.750
0.348 0.652 0.750
0.652 0.348 0.250
0.999 0.001 0.250
0.180 0.500 0.160
0.500 0.180 0.660
0.500 0.820 0.340
0.820 0.500 0.840
0.064 0.432 0.320
0.121 0.674 0.049
0.242 0.289 0.074
0.289 0.242 0.574
0.326 0.879 0.451
0.432 0.064 0.820
0.568 0.936 0.180
0.674 0.121 0.549
0.711 0.758 0.426
0.758 0.711 0.926
0.879 0.326 0.951
0.936 0.568 0.680
```